1.
This record from Alexandria describes a geometry-optimized CePm10Sm4 structure. The functional is PBE-GGA.

Geometry as CIF:
```
data_CePm10Sm4
_chemical_formula_sum 'Ce2 Pm20 Sm8'
_space_group_name_H-M_alt 'I 4/m m m'
_space_group_IT_number 139
_space_group_name_Hall '-I 4 2'
_cell_length_a 11.3901
_cell_length_b 11.3901
_cell_length_c 8.0587
_cell_angle_alpha 90.00
_cell_angle_beta 90.00
_cell_angle_gamma 90.00
loop_
_atom_site_label
_atom_site_type_symbol
_atom_site_fract_x
_atom_site_fract_y
_atom_site_fract_z
_atom_site_occupancy
Ce1 Ce 0.0000 0.0000 0.0000 1
Pm1 Pm 0.0000 0.2100 0.2912 1
Pm2 Pm 0.0000 0.5000 0.2500 1
Sm1 Sm 0.2269 0.2269 0.0000 1
```

Magnetic moment: 0.0 μB/f.u.
E_tot: -4.5853 eV/atom



2.
This record from Alexandria describes a geometry-optimized CePm3Sm6 structure. The functional is PBE-GGA.

Geometry as CIF:
```
data_CePm3Sm6
_chemical_formula_sum 'Ce3 Pm9 Sm18'
_space_group_name_H-M_alt 'R 3'
_space_group_IT_number 146
_space_group_name_Hall 'R 3'
_cell_length_a 10.0093
_cell_length_b 10.0093
_cell_length_c 11.6833
_cell_angle_alpha 90.00
_cell_angle_beta 90.00
_cell_angle_gamma 120.00
loop_
_atom_site_label
_atom_site_type_symbol
_atom_site_fract_x
_atom_site_fract_y
_atom_site_fract_z
_atom_site_occupancy
Ce1 Ce 0.0000 0.0000 0.0000 1
Pm1 Pm 0.0000 0.0000 0.2441 1
Pm2 Pm 0.0000 0.0000 0.5001 1
Pm3 Pm 0.0000 0.0000 0.7559 1
Sm1 Sm 0.0000 0.3208 0.9995 1
Sm2 Sm 0.0000 0.6748 0.4994 1
```

Magnetic moment: 1.1 μB/f.u.
E_tot: -4.6005 eV/atom



3.
This record from Alexandria describes a geometry-optimized CePmSm structure. The functional is PBE-GGA.

Geometry as CIF:
```
data_CePmSm
_chemical_formula_sum 'Ce4 Pm4 Sm4'
_space_group_name_H-M_alt 'P n m a'
_space_group_IT_number 62
_cell_length_a 11.3424
_cell_length_b 5.7191
_cell_length_c 5.9663
_cell_angle_alpha 90.00
_cell_angle_beta 90.00
_cell_angle_gamma 90.00
loop_
_space_group_symop_operation_xyz
'x,y,z'
'-x,-y,-z'
'-x+1/2,-y,z+1/2'
'x+1/2,y,-z+1/2'
'x+1/2,-y+1/2,-z+1/2'
'-x+1/2,y+1/2,z+1/2'
'-x,y+1/2,-z'
'x,-y+1/2,z'
loop_
_atom_site_label
_atom_site_type_symbol
_atom_site_fract_x
_atom_site_fract_y
_atom_site_fract_z
_atom_site_occupancy
Ce1 Ce 0.0511 0.2500 0.0390 1
Pm1 Pm 0.2458 0.2500 0.4940 1
Sm1 Sm 0.0863 0.7500 0.4714 1
```

Magnetic moment: 0.8 μB/f.u.
E above lowest polymorph: 94 meV/atom



4.
This record from Alexandria describes a geometry-optimized CePm2Sm structure. The functional is PBE-GGA.

Geometry as CIF:
```
data_CePm2Sm
_chemical_formula_sum 'Ce1 Pm2 Sm1'
_space_group_name_H-M_alt 'P 4/m m m'
_space_group_IT_number 123
_space_group_name_Hall '-P 4 2'
_cell_length_a 5.0997
_cell_length_b 5.0997
_cell_length_c 5.1032
_cell_angle_alpha 90.00
_cell_angle_beta 90.00
_cell_angle_gamma 90.00
loop_
_atom_site_label
_atom_site_type_symbol
_atom_site_fract_x
_atom_site_fract_y
_atom_site_fract_z
_atom_site_occupancy
Ce1 Ce 0.0000 0.0000 0.0000 1
Pm1 Pm 0.0000 0.5000 0.5000 1
Sm1 Sm 0.5000 0.5000 0.0000 1
```

Magnetic moment: 0.7 μB/f.u.
E above lowest polymorph: 15 meV/atom



5.
This record from Alexandria describes a geometry-optimized CePm12Sm2 structure. The functional is PBE-GGA.

Geometry as CIF:
```
data_CePm12Sm2
_chemical_formula_sum 'Ce2 Pm24 Sm4'
_space_group_name_H-M_alt 'P 4/n b m'
_space_group_IT_number 125
_cell_length_a 6.5553
_cell_length_b 6.5553
_cell_length_c 25.3782
_cell_angle_alpha 90.00
_cell_angle_beta 90.00
_cell_angle_gamma 90.00
loop_
_space_group_symop_operation_xyz
'x,y,z'
'-x,-y,-z'
'-y+1/2,x,z'
'y+1/2,-x,-z'
'-x+1/2,-y+1/2,z'
'x+1/2,y+1/2,-z'
'y,-x+1/2,z'
'-y,x+1/2,-z'
'x,-y+1/2,-z'
'-x,y+1/2,z'
'-y+1/2,-x+1/2,-z'
'y+1/2,x+1/2,z'
'-x+1/2,y,-z'
'x+1/2,-y,z'
'y,x,-z'
'-y,-x,z'
loop_
_atom_site_label
_atom_site_type_symbol
_atom_site_fract_x
_atom_site_fract_y
_atom_site_fract_z
_atom_site_occupancy
Ce1 Ce 0.2500 0.7500 0.0000 1
Pm1 Pm 0.0647 0.5647 0.1130 1
Pm2 Pm 0.0823 0.5823 0.4379 1
Pm3 Pm 0.2500 0.2500 0.2142 1
Pm4 Pm 0.2500 0.2500 0.3373 1
Sm1 Sm 0.2500 0.7500 0.2686 1
```

Magnetic moment: 1.2 μB/f.u.
E_tot: -4.4986 eV/atom



6.
This record from Alexandria describes a geometry-optimized CePmSmSn structure. The functional is PBE-GGA.

Geometry as CIF:
```
data_CePmSmSn
_chemical_formula_sum 'Ce4 Pm4 Sm4 Sn4'
_space_group_name_H-M_alt 'F -4 3 m'
_space_group_IT_number 216
_space_group_name_Hall 'F -4 2 3'
_cell_length_a 7.7346
_cell_length_b 7.7346
_cell_length_c 7.7346
_cell_angle_alpha 90.00
_cell_angle_beta 90.00
_cell_angle_gamma 90.00
loop_
_atom_site_label
_atom_site_type_symbol
_atom_site_fract_x
_atom_site_fract_y
_atom_site_fract_z
_atom_site_occupancy
Ce1 Ce 0.0000 0.0000 0.0000 1
Pm1 Pm 0.2500 0.2500 0.7500 1
Sm1 Sm 0.2500 0.2500 0.2500 1
Sn1 Sn 0.0000 0.0000 0.5000 1
```

Magnetic moment: 0.5 μB/f.u.
E_tot: -5.0665 eV/atom